Record 1
! HoHf2BeN4 PBE relaxed; values from VASP
&SYSTEM
  ibrav = 0, nat = 16, ntyp = 4
/
ATOMIC_SPECIES
Hf 178.49 Hf.upf
N 14.01 N.upf
Ho 164.93 Ho.upf
Be 9.01 Be.upf
CELL_PARAMETERS angstrom
-1.919 -1.490 2.056
5.197 -1.312 1.437
0.352 8.508 6.493
ATOMIC_POSITIONS crystal
Hf 0.630 0.261 0.448
Hf 0.370 0.739 0.552
Hf 0.370 0.739 0.948
Hf 0.630 0.261 0.052
N 0.000 0.000 0.000
N 0.269 0.538 0.124
N 0.731 0.462 0.876
N 0.000 0.000 0.500
N 0.425 0.851 0.750
N 0.731 0.462 0.624
N 0.269 0.538 0.376
N 0.575 0.149 0.250
Ho 0.105 0.209 0.750
Ho 0.895 0.791 0.250
Be 0.829 0.658 0.750
Be 0.171 0.342 0.250
! E_form (uncorrected) ... -13.048 eV per formula unit


Record 2
! HoHfBeRu PBE relaxed; values from VASP
&SYSTEM
  ibrav = 0, nat = 4, ntyp = 4
/
ATOMIC_SPECIES
Ru 101.07 Ru.upf
Be 9.01 Be.upf
Hf 178.49 Hf.upf
Ho 164.93 Ho.upf
CELL_PARAMETERS angstrom
-4.156 -0.020 2.136
-0.229 -0.203 4.663
-1.393 3.737 2.435
ATOMIC_POSITIONS crystal
Ru 0.750 0.750 0.750
Be 0.250 0.250 0.250
Hf 0.000 0.000 0.000
Ho 0.500 0.500 0.500
! DFT formation energy ... -19.83 kJ/mol of atoms


Record 3
! HoHfBeTc PBE relaxed; values from VASP
&SYSTEM
  ibrav = 0, nat = 4, ntyp = 4
/
ATOMIC_SPECIES
Hf 178.49 Hf.upf
Tc 98.00 Tc.upf
Be 9.01 Be.upf
Ho 164.93 Ho.upf
CELL_PARAMETERS angstrom
-3.628 -1.929 2.256
-3.182 -2.490 -2.377
-0.219 -4.651 0.543
ATOMIC_POSITIONS crystal
Hf 0.750 0.750 0.750
Tc 0.500 0.500 0.500
Be 0.000 0.000 0.000
Ho 0.250 0.250 0.250
! DFT formation energy ... -5.79 kJ/mol of atoms


Record 4
! Hf2BeI PBE relaxed; values from VASP
&SYSTEM
  ibrav = 0, nat = 4, ntyp = 3
/
ATOMIC_SPECIES
Hf 178.49 Hf.upf
I 126.90 I.upf
Be 9.01 Be.upf
CELL_PARAMETERS angstrom
0.359 -1.271 4.626
-2.488 -3.769 1.659
2.294 -4.052 1.210
ATOMIC_POSITIONS crystal
Hf 0.750 0.750 0.750
Hf 0.250 0.250 0.250
I 0.500 0.500 0.500
Be 0.000 0.000 0.000
! E_form (uncorrected) ... 1.920 eV per formula unit


Record 5
! Hf2BeI PBE relaxed; values from VASP
&SYSTEM
  ibrav = 0, nat = 8, ntyp = 3
/
ATOMIC_SPECIES
I 126.90 I.upf
Hf 178.49 Hf.upf
Be 9.01 Be.upf
CELL_PARAMETERS angstrom
5.844 0.000 0.000
0.000 5.844 0.000
2.922 2.922 6.181
ATOMIC_POSITIONS crystal
I 0.000 0.000 0.000
I 0.750 0.250 0.500
Hf 0.212 0.625 0.250
Hf 0.375 0.462 0.750
Hf 0.875 0.788 0.750
Hf 0.538 0.125 0.250
Be 0.250 0.750 0.500
Be 0.500 0.500 0.000
! E_form (uncorrected) ... 3.067 eV per formula unit


Record 6
! HfBe2I PBE relaxed; values from VASP
&SYSTEM
  ibrav = 0, nat = 4, ntyp = 3
/
ATOMIC_SPECIES
Hf 178.49 Hf.upf
Be 9.01 Be.upf
I 126.90 I.upf
CELL_PARAMETERS angstrom
0.000 3.272 3.272
3.272 0.000 3.272
3.272 3.272 0.000
ATOMIC_POSITIONS crystal
Hf 0.500 0.500 0.500
Be 0.750 0.750 0.750
Be 0.250 0.250 0.250
I 0.000 0.000 0.000
! E_form (uncorrected) ... 4.440 eV per formula unit


Record 7
! HfBeI PBE relaxed; values from VASP
&SYSTEM
  ibrav = 0, nat = 6, ntyp = 3
/
ATOMIC_SPECIES
Be 9.01 Be.upf
Hf 178.49 Hf.upf
I 126.90 I.upf
CELL_PARAMETERS angstrom
3.223 1.527 -0.869
2.030 4.839 0.525
-3.494 -3.936 11.524
ATOMIC_POSITIONS crystal
Be 0.868 0.477 0.047
Be 0.132 0.523 0.953
Hf 0.947 0.060 0.880
Hf 0.053 0.940 0.120
I 0.515 0.347 0.304
I 0.485 0.653 0.696
! E_form (uncorrected) ... -0.973 eV per formula unit


Record 8
! HfBe2I PBE relaxed; values from VASP
&SYSTEM
  ibrav = 0, nat = 8, ntyp = 3
/
ATOMIC_SPECIES
Be 9.01 Be.upf
I 126.90 I.upf
Hf 178.49 Hf.upf
CELL_PARAMETERS angstrom
-2.041 2.578 6.113
-3.895 -5.643 1.079
-0.640 -2.882 4.943
ATOMIC_POSITIONS crystal
Be 0.375 0.390 0.750
Be 0.610 0.125 0.250
Be 0.875 0.860 0.750
Be 0.140 0.625 0.250
I 0.250 0.750 0.500
I 0.500 0.500 0.000
Hf 0.000 0.000 0.000
Hf 0.750 0.250 0.500
! E_form (uncorrected) ... 3.298 eV per formula unit


Record 9
! Hf3BeI PBE relaxed; values from VASP
&SYSTEM
  ibrav = 0, nat = 5, ntyp = 3
/
ATOMIC_SPECIES
I 126.90 I.upf
Hf 178.49 Hf.upf
Be 9.01 Be.upf
CELL_PARAMETERS angstrom
-2.759 -3.841 -0.597
0.955 -1.379 4.461
-3.768 2.462 1.568
ATOMIC_POSITIONS crystal
I 0.500 0.500 0.500
Hf 0.000 0.500 0.000
Hf 0.000 0.000 0.500
Hf 0.500 0.000 0.000
Be 0.000 0.000 0.000
! E_form (uncorrected) ... 2.576 eV per formula unit


Record 10
! KHfBe2I PBE relaxed; values from VASP
&SYSTEM
  ibrav = 0, nat = 5, ntyp = 4
/
ATOMIC_SPECIES
Hf 178.49 Hf.upf
Be 9.01 Be.upf
I 126.90 I.upf
K 39.10 K.upf
CELL_PARAMETERS angstrom
5.526 0.000 0.000
0.000 6.436 0.000
0.000 0.000 5.526
ATOMIC_POSITIONS crystal
Hf 0.000 0.500 0.000
Be 0.000 0.000 0.500
Be 0.500 0.000 0.000
I 0.500 0.500 0.500
K 0.000 0.000 0.000
! E_form (uncorrected) ... 11.050 eV per formula unit


Record 11
! HfBeIN2 PBE relaxed; values from VASP
&SYSTEM
  ibrav = 0, nat = 5, ntyp = 4
/
ATOMIC_SPECIES
Hf 178.49 Hf.upf
N 14.01 N.upf
Be 9.01 Be.upf
I 126.90 I.upf
CELL_PARAMETERS angstrom
-0.224 -1.977 -3.553
3.455 -1.969 0.878
-3.222 -4.457 2.684
ATOMIC_POSITIONS crystal
Hf 0.000 0.000 0.000
N 0.000 0.500 0.000
N 0.500 0.000 0.000
Be 0.500 0.500 0.500
I 0.000 0.000 0.500
! E_form (uncorrected) ... 3.182 eV per formula unit


Record 12
! HfBeIN2 PBE relaxed; values from VASP
&SYSTEM
  ibrav = 0, nat = 5, ntyp = 4
/
ATOMIC_SPECIES
N 14.01 N.upf
Be 9.01 Be.upf
I 126.90 I.upf
Hf 178.49 Hf.upf
CELL_PARAMETERS angstrom
-3.196 1.928 1.078
-1.460 -3.267 1.514
1.998 1.013 4.112
ATOMIC_POSITIONS crystal
N 0.000 0.500 0.000
N 0.500 0.000 0.000
Be 0.000 0.000 0.000
I 0.000 0.000 0.500
Hf 0.500 0.500 0.500
! E_form (uncorrected) ... 5.825 eV per formula unit


Record 13
! HfBeI2N PBE relaxed; values from VASP
&SYSTEM
  ibrav = 0, nat = 5, ntyp = 4
/
ATOMIC_SPECIES
Hf 178.49 Hf.upf
I 126.90 I.upf
Be 9.01 Be.upf
N 14.01 N.upf
CELL_PARAMETERS angstrom
-0.734 -4.422 3.061
-1.519 -2.793 -4.400
3.144 -0.885 -0.524
ATOMIC_POSITIONS crystal
Hf 0.500 0.500 0.500
I 0.000 0.500 0.000
I 0.500 0.000 0.000
Be 0.000 0.000 0.000
N 0.000 0.000 0.500
! E_form (uncorrected) ... 2.305 eV per formula unit


Record 14
! HfBeI2N PBE relaxed; values from VASP
&SYSTEM
  ibrav = 0, nat = 5, ntyp = 4
/
ATOMIC_SPECIES
Hf 178.49 Hf.upf
N 14.01 N.upf
I 126.90 I.upf
Be 9.01 Be.upf
CELL_PARAMETERS angstrom
5.885 0.000 0.000
0.000 5.885 0.000
0.000 0.000 3.980
ATOMIC_POSITIONS crystal
Hf 0.000 0.000 0.000
N 0.000 0.000 0.500
I 0.000 0.500 0.000
I 0.500 0.000 0.000
Be 0.500 0.500 0.500
! E_form (uncorrected) ... 1.614 eV per formula unit


Record 15
! HfBeI2O PBE relaxed; values from VASP
&SYSTEM
  ibrav = 0, nat = 5, ntyp = 4
/
ATOMIC_SPECIES
O 16.00 O.upf
I 126.90 I.upf
Be 9.01 Be.upf
Hf 178.49 Hf.upf
CELL_PARAMETERS angstrom
5.827 0.000 0.000
0.000 5.827 0.000
0.000 0.000 3.966
ATOMIC_POSITIONS crystal
O 0.000 0.000 0.500
I 0.000 0.500 0.000
I 0.500 0.000 0.000
Be 0.500 0.500 0.500
Hf 0.000 0.000 0.000
! E_form (uncorrected) ... -2.882 eV per formula unit


Record 16
! HfBeIO2 PBE relaxed; values from VASP
&SYSTEM
  ibrav = 0, nat = 5, ntyp = 4
/
ATOMIC_SPECIES
O 16.00 O.upf
I 126.90 I.upf
Hf 178.49 Hf.upf
Be 9.01 Be.upf
CELL_PARAMETERS angstrom
3.915 0.000 0.000
0.000 3.915 0.000
0.000 0.000 4.588
ATOMIC_POSITIONS crystal
O 0.500 0.000 0.000
O 0.000 0.500 0.000
I 0.000 0.000 0.500
Hf 0.500 0.500 0.500
Be 0.000 0.000 0.000
! E_form (uncorrected) ... -1.671 eV per formula unit


Record 17
! HfBeIO2 PBE relaxed; values from VASP
&SYSTEM
  ibrav = 0, nat = 5, ntyp = 4
/
ATOMIC_SPECIES
O 16.00 O.upf
I 126.90 I.upf
Hf 178.49 Hf.upf
Be 9.01 Be.upf
CELL_PARAMETERS angstrom
-1.374 -3.156 -2.063
2.192 -2.455 2.296
-4.686 -0.520 3.917
ATOMIC_POSITIONS crystal
O 0.500 0.000 0.000
O 0.000 0.500 0.000
I 0.000 0.000 0.500
Hf 0.000 0.000 0.000
Be 0.500 0.500 0.500
! E_form (uncorrected) ... -6.210 eV per formula unit


Record 18
! HfBeI2O PBE relaxed; values from VASP
&SYSTEM
  ibrav = 0, nat = 5, ntyp = 4
/
ATOMIC_SPECIES
O 16.00 O.upf
I 126.90 I.upf
Be 9.01 Be.upf
Hf 178.49 Hf.upf
CELL_PARAMETERS angstrom
-3.453 -2.857 -3.354
4.337 -1.449 -3.230
0.449 -2.643 1.789
ATOMIC_POSITIONS crystal
O 0.000 0.000 0.500
I 0.500 0.000 0.000
I 0.000 0.500 0.000
Be 0.000 0.000 0.000
Hf 0.500 0.500 0.500
! E_form (uncorrected) ... -2.081 eV per formula unit


Record 19
! HfBeSbI2 PBE relaxed; values from VASP
&SYSTEM
  ibrav = 0, nat = 5, ntyp = 4
/
ATOMIC_SPECIES
Sb 121.76 Sb.upf
I 126.90 I.upf
Hf 178.49 Hf.upf
Be 9.01 Be.upf
CELL_PARAMETERS angstrom
-4.432 -0.727 -3.427
3.065 -3.482 -3.225
-1.707 -4.414 3.144
ATOMIC_POSITIONS crystal
Sb 0.000 0.000 0.500
I 0.000 0.500 0.000
I 0.500 0.000 0.000
Hf 0.000 0.000 0.000
Be 0.500 0.500 0.500
! E_form (uncorrected) ... 2.612 eV per formula unit


Record 20
! HfBeSb2I PBE relaxed; values from VASP
&SYSTEM
  ibrav = 0, nat = 5, ntyp = 4
/
ATOMIC_SPECIES
Sb 121.76 Sb.upf
Be 9.01 Be.upf
Hf 178.49 Hf.upf
I 126.90 I.upf
CELL_PARAMETERS angstrom
-1.056 -3.179 -4.436
1.235 -4.541 2.959
-5.394 -0.429 1.592
ATOMIC_POSITIONS crystal
Sb 0.000 0.500 0.000
Sb 0.500 0.000 0.000
Be 0.500 0.500 0.500
Hf 0.000 0.000 0.000
I 0.000 0.000 0.500
! E_form (uncorrected) ... 3.555 eV per formula unit


Record 21
! HfBeSb2I PBE relaxed; values from VASP
&SYSTEM
  ibrav = 0, nat = 5, ntyp = 4
/
ATOMIC_SPECIES
Sb 121.76 Sb.upf
I 126.90 I.upf
Be 9.01 Be.upf
Hf 178.49 Hf.upf
CELL_PARAMETERS angstrom
5.549 0.000 0.000
0.000 5.197 0.000
0.000 0.000 5.549
ATOMIC_POSITIONS crystal
Sb 0.000 0.000 0.500
Sb 0.500 0.000 0.000
I 0.500 0.500 0.500
Be 0.000 0.500 0.000
Hf 0.000 0.000 0.000
! E_form (uncorrected) ... 3.435 eV per formula unit


Record 22
! HfBeSb2I PBE relaxed; values from VASP
&SYSTEM
  ibrav = 0, nat = 5, ntyp = 4
/
ATOMIC_SPECIES
I 126.90 I.upf
Sb 121.76 Sb.upf
Hf 178.49 Hf.upf
Be 9.01 Be.upf
CELL_PARAMETERS angstrom
-2.415 -2.139 -3.609
-3.184 -1.776 3.184
-2.978 4.321 -0.568
ATOMIC_POSITIONS crystal
I 0.000 0.000 0.500
Sb 0.000 0.500 0.000
Sb 0.500 0.000 0.000
Hf 0.500 0.500 0.500
Be 0.000 0.000 0.000
! E_form (uncorrected) ... 3.149 eV per formula unit


Record 23
! HfBeSbI2 PBE relaxed; values from VASP
&SYSTEM
  ibrav = 0, nat = 5, ntyp = 4
/
ATOMIC_SPECIES
Be 9.01 Be.upf
I 126.90 I.upf
Hf 178.49 Hf.upf
Sb 121.76 Sb.upf
CELL_PARAMETERS angstrom
5.002 0.000 0.000
0.000 5.002 0.000
0.000 0.000 5.188
ATOMIC_POSITIONS crystal
Be 0.000 0.000 0.000
I 0.000 0.500 0.000
I 0.500 0.000 0.000
Hf 0.500 0.500 0.500
Sb 0.000 0.000 0.500
! E_form (uncorrected) ... 3.107 eV per formula unit


Record 24
! HfBeTeI2 PBE relaxed; values from VASP
&SYSTEM
  ibrav = 0, nat = 5, ntyp = 4
/
ATOMIC_SPECIES
Be 9.01 Be.upf
Hf 178.49 Hf.upf
I 126.90 I.upf
Te 127.60 Te.upf
CELL_PARAMETERS angstrom
5.760 0.000 0.000
0.000 5.760 0.000
0.000 0.000 5.527
ATOMIC_POSITIONS crystal
Be 0.500 0.500 0.500
Hf 0.000 0.000 0.000
I 0.500 0.000 0.000
I 0.000 0.500 0.000
Te 0.000 0.000 0.500
! E_form (uncorrected) ... 1.378 eV per formula unit


Record 25
! HfBeTe2I PBE relaxed; values from VASP
&SYSTEM
  ibrav = 0, nat = 5, ntyp = 4
/
ATOMIC_SPECIES
I 126.90 I.upf
Te 127.60 Te.upf
Hf 178.49 Hf.upf
Be 9.01 Be.upf
CELL_PARAMETERS angstrom
5.025 0.000 0.000
0.000 5.025 0.000
0.000 0.000 4.991
ATOMIC_POSITIONS crystal
I 0.000 0.000 0.500
Te 0.000 0.500 0.000
Te 0.500 0.000 0.000
Hf 0.500 0.500 0.500
Be 0.000 0.000 0.000
! E_form (uncorrected) ... 2.123 eV per formula unit


Record 26
! HfBeTe2I PBE relaxed; values from VASP
&SYSTEM
  ibrav = 0, nat = 5, ntyp = 4
/
ATOMIC_SPECIES
Hf 178.49 Hf.upf
Te 127.60 Te.upf
Be 9.01 Be.upf
I 126.90 I.upf
CELL_PARAMETERS angstrom
5.553 0.000 0.000
0.000 5.553 0.000
0.000 0.000 5.782
ATOMIC_POSITIONS crystal
Hf 0.000 0.000 0.000
Te 0.000 0.500 0.000
Te 0.500 0.000 0.000
Be 0.500 0.500 0.500
I 0.000 0.000 0.500
! E_form (uncorrected) ... 1.756 eV per formula unit


Record 27
! HfBeTeI2 PBE relaxed; values from VASP
&SYSTEM
  ibrav = 0, nat = 5, ntyp = 4
/
ATOMIC_SPECIES
Te 127.60 Te.upf
I 126.90 I.upf
Hf 178.49 Hf.upf
Be 9.01 Be.upf
CELL_PARAMETERS angstrom
4.999 0.000 0.000
0.000 4.999 0.000
0.000 0.000 5.232
ATOMIC_POSITIONS crystal
Te 0.000 0.000 0.500
I 0.500 0.000 0.000
I 0.000 0.500 0.000
Hf 0.500 0.500 0.500
Be 0.000 0.000 0.000
! E_form (uncorrected) ... 2.286 eV per formula unit


Record 28
! HfTi2BeI PBE relaxed; values from VASP
&SYSTEM
  ibrav = 0, nat = 5, ntyp = 4
/
ATOMIC_SPECIES
Hf 178.49 Hf.upf
Ti 47.87 Ti.upf
Be 9.01 Be.upf
I 126.90 I.upf
CELL_PARAMETERS angstrom
-0.249 -4.419 0.728
3.455 -0.737 -3.290
3.123 0.352 3.200
ATOMIC_POSITIONS crystal
Hf 0.500 0.500 0.500
Ti 0.000 0.000 0.500
Ti 0.500 0.000 0.000
Be 0.000 0.000 0.000
I 0.000 0.500 0.000
! E_form (uncorrected) ... 4.103 eV per formula unit